{
  "formula": "Cu4TeSe",
  "functional": "PBE",
  "state": "optimized geometry",
  "formation_energy_uncorrected_ev_per_fu": 1.48,
  "relative_energy_kcal_per_mol_atoms": 5.01,
  "crystal_system": "cubic",
  "lattice": [[0.000, 3.619, 3.619], [3.619, 0.000, 3.619], [3.619, 3.619, 0.000]],
  "species": ["Cu", "Cu", "Cu", "Cu", "Se", "Te"],
  "fractional_positions": [[0.375, 0.875, 0.375], [0.375, 0.375, 0.375], [0.375, 0.375, 0.875], [0.875, 0.375, 0.375], [0.750, 0.750, 0.750], [0.000, 0.000, 0.000]]
}